(1)
Li2ZnPbBr6 | PBE | relaxed

POSCAR file:
```
Li2ZnPbBr6
1.0
-0.3314 2.0222 -6.7019
2.5160 -4.1618 -5.0447
-5.0419 -3.5210 -4.4784
Li Pb Br Zn
2 1 6 1
direct
0.5132 0.5134 0.4601 Li
0.0089 0.0091 0.9727 Li
0.8162 0.8162 0.5514 Pb
0.1350 0.3772 0.7635 Br
0.5836 0.2533 0.2342 Br
0.7243 0.1349 0.7636 Br
0.2533 0.9289 0.2343 Br
0.9290 0.5835 0.2343 Br
0.3772 0.7243 0.7635 Br
0.3209 0.3208 0.0375 Zn
```

Results
**Space group**: R3, No. 146
**Energy relative to the elements, uncorrected**: -1.08 eV/atom
**VASP energy**: -2.964 eV per atom
**Mass density**: 4.64 g/cm3

(2)
Rb2Ca2Ge | PBE | relaxed

POSCAR file:
```
Rb2Ca2Ge
1.0
4.5597 0.0000 0.0000
0.0000 4.5597 0.0000
2.2798 2.2798 10.6458
Rb Ca Ge
2 2 1
direct
0.7500 0.2500 0.5000 Rb
0.2500 0.7500 0.5000 Rb
0.5749 0.5749 0.8502 Ca
0.4251 0.4251 0.1498 Ca
0.0000 0.0000 0.0000 Ge
```

Results
**Space group**: I4/mmm, No. 139
**VASP energy**: -1.619 eV per atom
**Mass density**: 2.43 g/cm3
**Formation energy from the elements**: 0.49 eV/atom
**Relative energy among the computed polymorphs**: 501 meV/atom

Among the records above, which one has the lowest VASP energy?
Li2ZnPbBr6

Number 1 is which compound?
Li2ZnPbBr6

Among the records above, which one has the lowest mass density?
Rb2Ca2Ge